## 1
Hf2ScNi9 PBE optimized geometry; density of states at the Fermi level = 0.59 states/eV/atom; calculated density = 10.00 g cm⁻³; SG = P4/mmm (123)
1.0
3.721 0.000 0.000
0.000 3.721 0.000
0.000 0.000 11.153
Hf Sc Ni
2 1 9
direct
0.000 0.000 0.169
0.000 0.000 0.831
0.000 0.000 0.500
0.000 0.500 0.000
0.000 0.500 0.333
0.000 0.500 0.667
0.500 0.000 0.000
0.500 0.000 0.333
0.500 0.000 0.667
0.500 0.500 0.166
0.500 0.500 0.500
0.500 0.500 0.834



## 2
Hf2ScNi9 PBE optimized geometry; density of states at the Fermi level = 1.08 states/eV/atom; calculated density = 9.71 g cm⁻³; SG = R-3m (166)
1.0
2.412 1.392 7.896
-2.412 1.392 7.896
0.000 -2.785 7.896
Hf Sc Ni
2 1 9
direct
0.138 0.138 0.138
0.862 0.862 0.862
0.000 0.000 0.000
0.080 0.587 0.587
0.334 0.334 0.334
0.413 0.413 0.920
0.413 0.920 0.413
0.500 0.500 0.500
0.587 0.080 0.587
0.587 0.587 0.080
0.666 0.666 0.666
0.920 0.413 0.413



Going by the energies, 1 is most stable and the next is 59 meV per atom up.